# PBE-GGA LiBe2Cd, relaxed
# E_form, eV/atom: 0.22
# VASP energy, eV/atom: -2.348
# Fermi-level density of states, states/eV/atom: 0.144
data_LiBe2Cd
_space_group_name_H-M_alt 'C 1 m 1'
_space_group_IT_number 8
_space_group_name_Hall 'C -2y'
_cell_length_a 8.966
_cell_length_b 3.069
_cell_length_c 4.156
_cell_angle_alpha 90.00
_cell_angle_beta 116.82
_cell_angle_gamma 90.00
loop_
_atom_site_label
_atom_site_type_symbol
_atom_site_fract_x
_atom_site_fract_y
_atom_site_fract_z
_atom_site_occupancy
Li1 Li 0.000 0.000 0.000 1
Be1 Be 0.037 0.500 0.538 1
Be2 Be 0.233 0.000 0.735 1
Cd1 Cd 0.275 0.500 0.275 1